No. 1
SmErMnGa: relaxed, PBE.

The total moment is 0.82 μB per atom. The volume comes out at 92 Å³/f.u.

Structure (CIF):
```
data_SmErMnGa
_chemical_formula_sum 'Sm4 Er4 Mn4 Ga4'
_cell_length_a 7.170
_cell_length_b 7.170
_cell_length_c 7.170
_cell_angle_alpha 90.00
_cell_angle_beta 90.00
_cell_angle_gamma 90.00
_space_group_name_H-M_alt 'F -4 3 m'
_space_group_IT_number 216
_space_group_name_Hall 'F -4 2 3'
loop_
_atom_site_label
_atom_site_type_symbol
_atom_site_fract_x
_atom_site_fract_y
_atom_site_fract_z
Sm1 Sm 0.000 0.000 0.000
Er1 Er 0.000 0.000 0.500
Mn1 Mn 0.250 0.250 0.750
Ga1 Ga 0.250 0.250 0.250
```

---

No. 2
TbErMnGa: relaxed, PBE.

The total moment is 0.83 μB per atom. The volume comes out at 90 Å³/f.u.

Structure (CIF):
```
data_TbErMnGa
_chemical_formula_sum 'Tb4 Er4 Mn4 Ga4'
_cell_length_a 7.106
_cell_length_b 7.106
_cell_length_c 7.106
_cell_angle_alpha 90.00
_cell_angle_beta 90.00
_cell_angle_gamma 90.00
_space_group_name_H-M_alt 'F -4 3 m'
_space_group_IT_number 216
_space_group_name_Hall 'F -4 2 3'
loop_
_atom_site_label
_atom_site_type_symbol
_atom_site_fract_x
_atom_site_fract_y
_atom_site_fract_z
Tb1 Tb 0.000 0.000 0.000
Er1 Er 0.000 0.000 0.500
Mn1 Mn 0.250 0.250 0.250
Ga1 Ga 0.250 0.250 0.750
```

---

no.,DOS(E_F) (states/eV per cell),calculated formation energy (eV per atom)
1,18.66,-0.146
2,19.32,-0.165